Computed, not measured: a relaxed Li2Co3TeO8 crystal at the PBE with a Hubbard U level of DFT.

Geometry as POSCAR:
```
Li2Co3TeO8
1.0
5.123 2.967 -0.001
-5.123 2.967 -0.001
0.000 0.015 9.791
Co Li O Te
6 4 16 2
Direct
0.337 0.170 0.722
0.833 0.648 0.711
0.170 0.337 0.222
0.833 0.188 0.713
0.648 0.833 0.211
0.188 0.833 0.213
0.000 0.001 0.486
0.001 0.000 0.986
0.667 0.337 0.410
0.337 0.667 0.910
0.520 0.040 0.852
0.343 0.168 0.088
0.006 0.004 0.294
0.660 0.830 0.588
0.969 0.482 0.854
0.166 0.827 0.588
0.646 0.318 0.609
0.040 0.520 0.352
0.168 0.343 0.588
0.318 0.646 0.109
0.830 0.660 0.088
0.482 0.969 0.354
0.480 0.519 0.351
0.519 0.480 0.851
0.827 0.166 0.088
0.004 0.006 0.794
0.338 0.671 0.486
0.671 0.338 0.986
```

- Size of the total moment: 10.96 μB per formula unit
- Raw total energy: -5.6882 eV per atom
- Symmetry: No. 9